Computed, not measured: crystalline Nd4TmTl at its relaxed geometry at the PBE-GGA level of DFT.

Properties
As for the energy above the most stable polymorph in this dataset: 0.000 eV per atom. The calculation puts the formation energy from the elements at -0.10 eV/atom.

Geometry as CIF:
```
data_Nd4TmTl
_chemical_formula_sum 'Nd4 Tm1 Tl1'
_cell_length_a 3.6841
_cell_length_b 3.6841
_cell_length_c 14.4833
_cell_angle_alpha 90.00
_cell_angle_beta 90.00
_cell_angle_gamma 90.00
_symmetry_space_group_name_H-M 'P 4/m m m'
_symmetry_Int_Tables_number 123
_symmetry_space_group_name_Hall '-P 4 2'
loop_
_atom_site_label
_atom_site_fract_x
_atom_site_fract_y
_atom_site_fract_z
_atom_site_occupancy
Nd1 0.0000 0.0000 0.1497 1
Nd2 0.5000 0.5000 0.3292 1
Tm1 0.0000 0.0000 0.5000 1
Tl1 0.5000 0.5000 0.0000 1
```

***

Computed, not measured: crystalline Pm3Ho3Tl2 at its relaxed geometry at the PBE-GGA level of DFT.

Properties
As for the energy above the most stable polymorph in this dataset: 0.075 eV per atom. The calculation puts the formation energy from the elements at -0.11 eV/atom.

Geometry as CIF:
```
data_Pm3Ho3Tl2
_chemical_formula_sum 'Pm12 Ho12 Tl8'
_cell_length_a 5.1541
_cell_length_b 12.0368
_cell_length_c 16.2659
_cell_angle_alpha 90.00
_cell_angle_beta 90.00
_cell_angle_gamma 90.00
_symmetry_space_group_name_H-M 'C m c m'
_symmetry_Int_Tables_number 63
_symmetry_space_group_name_Hall '-C 2c 2'
loop_
_atom_site_label
_atom_site_fract_x
_atom_site_fract_y
_atom_site_fract_z
_atom_site_occupancy
Pm1 0.0000 0.0433 0.1047 1
Pm2 0.0000 0.2761 0.2500 1
Ho1 0.0000 0.3645 0.0377 1
Ho2 0.0000 0.4426 0.7500 1
Tl1 0.0000 0.2330 0.6289 1
```

***

Computed, not measured: crystalline NaGa2IO6 at its relaxed geometry at the PBE-GGA level of DFT.

Properties
The formation energy without anion corrections comes out at -1301 meV/atom.

Geometry as CIF:
```
data_NaGa2IO6
_chemical_formula_sum 'Na4 Ga8 I4 O24'
_cell_length_a 10.1692
_cell_length_b 9.5402
_cell_length_c 5.6323
_cell_angle_alpha 90.00
_cell_angle_beta 102.55
_cell_angle_gamma 90.00
_symmetry_space_group_name_H-M 'C 1 2/c 1'
_symmetry_Int_Tables_number 15
_symmetry_space_group_name_Hall '-C 2yc'
loop_
_atom_site_label
_atom_site_fract_x
_atom_site_fract_y
_atom_site_fract_z
_atom_site_occupancy
Na1 0.0000 0.0849 0.2500 1
Ga1 0.1998 0.4058 0.2502 1
I1 0.0000 0.2735 0.7500 1
O1 0.1080 0.1291 0.6556 1
O2 0.1150 0.2511 0.0857 1
O3 0.1607 0.4377 0.5514 1
```

***

Copy entry 3 word for word.
Computed, not measured: crystalline NaGa2IO6 at its relaxed geometry at the PBE-GGA level of DFT.

Properties
The formation energy without anion corrections comes out at -1301 meV/atom.

Geometry as CIF:
```
data_NaGa2IO6
_chemical_formula_sum 'Na4 Ga8 I4 O24'
_cell_length_a 10.1692
_cell_length_b 9.5402
_cell_length_c 5.6323
_cell_angle_alpha 90.00
_cell_angle_beta 102.55
_cell_angle_gamma 90.00
_symmetry_space_group_name_H-M 'C 1 2/c 1'
_symmetry_Int_Tables_number 15
_symmetry_space_group_name_Hall '-C 2yc'
loop_
_atom_site_label
_atom_site_fract_x
_atom_site_fract_y
_atom_site_fract_z
_atom_site_occupancy
Na1 0.0000 0.0849 0.2500 1
Ga1 0.1998 0.4058 0.2502 1
I1 0.0000 0.2735 0.7500 1
O1 0.1080 0.1291 0.6556 1
O2 0.1150 0.2511 0.0857 1
O3 0.1607 0.4377 0.5514 1
```